(1)
## BaYSn2 (PBE)

Data for an optimized crystal structure of BaYSn2.

## Properties
**DFT formation energy**: -212.3 meV/atom
**V**: 343 Å³ per cell
**SG**: I-42d
**Excess energy over the best structure of this formula in the dataset**: 428 meV/atom

abc: 5.8330 5.8330 10.8835
angles: 74.46 74.46 90.00
Last column: nearest neighbours and their distance in Å.
Sites, in units of the cell vectors:
1 Sn 0.3750 0.5004 0.7500  2 Y 3.00, 2 Sn 3.26
2 Sn 0.4996 0.1250 0.2500  2 Y 3.00, 2 Sn 3.26
3 Sn 0.2504 0.6250 0.2500  2 Y 3.00, 2 Sn 3.26
4 Sn 0.8750 0.7496 0.7500  2 Y 3.00, 2 Sn 3.26
5 Y 0.2500 0.7500 0.5000  4 Sn 3.00
6 Y 0.5000 0.5000 0.0000  4 Sn 3.00
7 Ba 0.7500 0.2500 0.5000  4 Sn 3.64
8 Ba 0.0000 0.0000 0.0000  4 Sn 3.64



(2)
## Nd3DyN4 (PBE)

Data for an optimized crystal structure of Nd3DyN4.

## Properties
**E_form (uncorrected)**: -136.6 kJ per mole of atoms
**V**: 133 Å³ per cell
**SG**: Pm-3m
**Excess energy over the best structure of this formula in the dataset**: 11 meV/atom

abc: 5.1083 5.1083 5.1083
angles: 90.00 90.00 90.00
Last column: nearest neighbours and their distance in Å.
Sites, in units of the cell vectors:
1 Dy 0.0000 0.0000 0.0000  6 N 2.55
2 Nd 0.5000 0.5000 0.0000  6 N 2.55
3 Nd 0.5000 0.0000 0.5000  6 N 2.55
4 Nd 0.0000 0.5000 0.5000  6 N 2.55
5 N 0.5000 0.5000 0.5000  6 Nd 2.55
6 N 0.5000 0.0000 0.0000  4 Nd 2.55, 2 Dy 2.55
7 N 0.0000 0.0000 0.5000  4 Nd 2.55, 2 Dy 2.55
8 N 0.0000 0.5000 0.0000  4 Nd 2.55, 2 Dy 2.55



(3)
## La2CoHg (PBE)

Data for an optimized crystal structure of La2CoHg.

## Properties
**DFT formation energy**: -135.7 meV/atom
**V**: 104 Å³ per cell
**SG**: Immm

abc: 5.5611 5.5611 5.5611
angles: 134.74 117.95 80.06
Last column: nearest neighbours and their distance in Å.
Sites, in units of the cell vectors:
1 Hg 0.7500 0.2500 0.5000  8 La 3.31-3.35, 4 Co 3.58
2 Co 0.2500 0.7500 0.5000  4 La 2.76
3 La 0.0459 0.0459 0.0000  2 Co 2.76
4 La 0.4541 0.4541 0.0000  2 Co 2.76



(4)
## Tb3Dy2TmSb6 (PBE)

Data for an optimized crystal structure of Tb3Dy2TmSb6.

## Properties
**E_form (uncorrected)**: -109.0 kJ per mole of atoms
**V**: 357 Å³ per cell
**SG**: C2/m

abc: 4.3840 8.7671 9.8016
angles: 102.86 102.92 90.00
Last column: nearest neighbours and their distance in Å.
Sites, in units of the cell vectors:
1 Sb 0.0000 0.2468 0.9999  2 Tm 3.08, 1 Dy 3.10, 3 Tb 3.11-3.12
2 Sb 0.3330 0.4176 0.6660  3 Dy 3.10, 3 Tb 3.10-3.11
3 Sb 0.0000 0.7532 0.0001  2 Tm 3.08, 1 Dy 3.10, 3 Tb 3.11-3.12
4 Sb 0.6654 0.0832 0.3308  1 Tm 3.08, 2 Dy 3.09, 3 Tb 3.10-3.11
5 Sb 0.3346 0.9168 0.6692  1 Tm 3.08, 2 Dy 3.09, 3 Tb 3.10-3.11
6 Sb 0.6670 0.5824 0.3340  3 Dy 3.10, 3 Tb 3.10-3.11
7 Tb 0.5000 0.5000 0.0000  6 Sb 3.11-3.12
8 Tb 0.1671 0.8333 0.3343  6 Sb 3.10-3.11
9 Tb 0.8329 0.1667 0.6657  6 Sb 3.10-3.11
10 Dy 0.8336 0.6671 0.6673  6 Sb 3.09-3.10
11 Dy 0.1664 0.3329 0.3327  6 Sb 3.09-3.10
12 Tm 0.5000 0.0000 0.0000  6 Sb 3.08



(5)
## Li2YHg8 (PBE)

Data for an optimized crystal structure of Li2YHg8.

## Properties
**DFT formation energy**: -251.1 meV/atom
**V**: 254 Å³ per cell
**SG**: Immm

abc: 4.7620 7.7615 8.2342
angles: 118.12 106.81 90.00
Last column: nearest neighbours and their distance in Å.
Sites, in units of the cell vectors:
1 Hg 0.0000 0.3089 0.0000  7 Hg 2.97-3.24, 2 Li 3.20
2 Hg 0.3487 0.1463 0.6975  3 Li 2.95-3.02, 4 Hg 3.04-3.16, 1 Y 3.11
3 Hg 0.0000 0.6911 0.0000  7 Hg 2.97-3.24, 2 Li 3.20
4 Hg 0.1590 0.1590 0.3181  2 Li 3.01, 8 Hg 3.04-3.32, 2 Y 3.23
5 Hg 0.6513 0.4488 0.3025  3 Li 2.95-3.02, 4 Hg 3.04-3.16, 1 Y 3.11
6 Hg 0.3487 0.5512 0.6975  3 Li 2.95-3.02, 4 Hg 3.04-3.16, 1 Y 3.11
7 Hg 0.8410 0.8410 0.6819  2 Li 3.01, 8 Hg 3.04-3.32, 2 Y 3.23
8 Hg 0.6513 0.8537 0.3025  3 Li 2.95-3.02, 4 Hg 3.04-3.16, 1 Y 3.11
9 Li 0.7934 0.2934 0.5869  10 Hg 2.95-3.20
10 Li 0.2066 0.7066 0.4131  10 Hg 2.95-3.20
11 Y 0.5000 0.0000 0.0000  12 Hg 3.11-3.38



(6)
## Tb3Tl4Te8Pb (PBE)

Data for an optimized crystal structure of Tb3Tl4Te8Pb.

## Properties
**E_form (uncorrected)**: -82.7 kJ per mole of atoms
**V**: 565 Å³ per cell
**SG**: R-3m

abc: 9.0663 9.5130 9.0665
angles: 118.47 120.00 90.00
Last column: nearest neighbours and their distance in Å.
Sites, in units of the cell vectors:
1 Tb 0.0000 0.5000 0.5000  6 Te 3.11-3.13
2 Tb 0.5000 0.5000 0.5000  6 Te 3.11-3.13
3 Tb 0.5000 0.5000 0.0000  6 Te 3.11-3.13
4 Tl 0.0000 0.0000 0.0000  6 Te 3.45-3.47
5 Tl 0.5000 0.0000 0.0000  6 Te 3.35
6 Tl 0.0000 0.0000 0.5000  6 Te 3.45-3.47
7 Tl 0.5000 0.0000 0.5000  6 Te 3.45-3.47
8 Te 0.2731 0.2790 0.0260  2 Tb 3.11, 1 Pb 3.24, 3 Tl 3.35-3.47
9 Te 0.7269 0.7210 0.9740  2 Tb 3.11, 1 Pb 3.24, 3 Tl 3.35-3.47
10 Te 0.7529 0.2790 0.5058  2 Tb 3.11, 1 Pb 3.24, 3 Tl 3.35-3.47
11 Te 0.7529 0.2790 0.0260  2 Tb 3.11, 1 Pb 3.24, 3 Tl 3.35-3.47
12 Te 0.2471 0.7210 0.4942  2 Tb 3.11, 1 Pb 3.24, 3 Tl 3.35-3.47
13 Te 0.2610 0.2831 0.5220  3 Tb 3.13, 3 Tl 3.45
14 Te 0.7390 0.7169 0.4780  3 Tb 3.13, 3 Tl 3.45
15 Te 0.2471 0.7210 0.9740  2 Tb 3.11, 1 Pb 3.24, 3 Tl 3.35-3.47
16 Pb 0.0000 0.5000 0.0000  6 Te 3.24



V of number 5 (Li2YHg8)? 254 Å³ per cell



Repeat the fourth record exactly.
## Tb3Dy2TmSb6 (PBE)

Data for an optimized crystal structure of Tb3Dy2TmSb6.

## Properties
**E_form (uncorrected)**: -109.0 kJ per mole of atoms
**V**: 357 Å³ per cell
**SG**: C2/m

abc: 4.3840 8.7671 9.8016
angles: 102.86 102.92 90.00
Last column: nearest neighbours and their distance in Å.
Sites, in units of the cell vectors:
1 Sb 0.0000 0.2468 0.9999  2 Tm 3.08, 1 Dy 3.10, 3 Tb 3.11-3.12
2 Sb 0.3330 0.4176 0.6660  3 Dy 3.10, 3 Tb 3.10-3.11
3 Sb 0.0000 0.7532 0.0001  2 Tm 3.08, 1 Dy 3.10, 3 Tb 3.11-3.12
4 Sb 0.6654 0.0832 0.3308  1 Tm 3.08, 2 Dy 3.09, 3 Tb 3.10-3.11
5 Sb 0.3346 0.9168 0.6692  1 Tm 3.08, 2 Dy 3.09, 3 Tb 3.10-3.11
6 Sb 0.6670 0.5824 0.3340  3 Dy 3.10, 3 Tb 3.10-3.11
7 Tb 0.5000 0.5000 0.0000  6 Sb 3.11-3.12
8 Tb 0.1671 0.8333 0.3343  6 Sb 3.10-3.11
9 Tb 0.8329 0.1667 0.6657  6 Sb 3.10-3.11
10 Dy 0.8336 0.6671 0.6673  6 Sb 3.09-3.10
11 Dy 0.1664 0.3329 0.3327  6 Sb 3.09-3.10
12 Tm 0.5000 0.0000 0.0000  6 Sb 3.08



What did the second record say?
## Nd3DyN4 (PBE)

Data for an optimized crystal structure of Nd3DyN4.

## Properties
**E_form (uncorrected)**: -136.6 kJ per mole of atoms
**V**: 133 Å³ per cell
**SG**: Pm-3m
**Excess energy over the best structure of this formula in the dataset**: 11 meV/atom

abc: 5.1083 5.1083 5.1083
angles: 90.00 90.00 90.00
Last column: nearest neighbours and their distance in Å.
Sites, in units of the cell vectors:
1 Dy 0.0000 0.0000 0.0000  6 N 2.55
2 Nd 0.5000 0.5000 0.0000  6 N 2.55
3 Nd 0.5000 0.0000 0.5000  6 N 2.55
4 Nd 0.0000 0.5000 0.5000  6 N 2.55
5 N 0.5000 0.5000 0.5000  6 Nd 2.55
6 N 0.5000 0.0000 0.0000  4 Nd 2.55, 2 Dy 2.55
7 N 0.0000 0.0000 0.5000  4 Nd 2.55, 2 Dy 2.55
8 N 0.0000 0.5000 0.0000  4 Nd 2.55, 2 Dy 2.55



Among the records above, which one has the lowest V? La2CoHg